(1)
Cu12Se3F5 | Alexandria | GGA-PBE | optimized geometry; SG = Ia-3d; total magnetic moment = 0.0 μB/cell; ΔE_f (raw) = -0.368 eV per atom
1.0
-8.554 -5.099 -5.965
3.282 -6.910 8.731
-3.761 10.116 4.276
Cu F Se
48 20 12
Direct
0.055 0.633 0.730 Cu
0.078 0.903 0.133 Cu
0.175 0.097 0.730 Cu
0.422 0.367 0.597 Cu
0.633 0.578 0.903 Cu
0.597 0.730 0.675 Cu
0.270 0.867 0.945 Cu
0.175 0.078 0.945 Cu
0.325 0.555 0.422 Cu
0.770 0.325 0.903 Cu
0.555 0.230 0.133 Cu
0.078 0.175 0.445 Cu
0.867 0.270 0.445 Cu
0.445 0.770 0.867 Cu
0.675 0.230 0.597 Cu
0.270 0.403 0.825 Cu
0.903 0.078 0.633 Cu
0.825 0.922 0.055 Cu
0.578 0.945 0.675 Cu
0.230 0.675 0.097 Cu
0.367 0.422 0.097 Cu
0.555 0.325 0.922 Cu
0.055 0.422 0.825 Cu
0.403 0.133 0.578 Cu
0.945 0.367 0.270 Cu
0.770 0.445 0.367 Cu
0.230 0.555 0.633 Cu
0.867 0.597 0.922 Cu
0.133 0.730 0.555 Cu
0.675 0.445 0.578 Cu
0.825 0.903 0.270 Cu
0.422 0.055 0.325 Cu
0.903 0.825 0.770 Cu
0.597 0.867 0.422 Cu
0.097 0.175 0.230 Cu
0.922 0.097 0.867 Cu
0.097 0.922 0.367 Cu
0.133 0.403 0.078 Cu
0.325 0.770 0.403 Cu
0.445 0.675 0.078 Cu
0.367 0.945 0.770 Cu
0.578 0.633 0.403 Cu
0.730 0.597 0.175 Cu
0.945 0.578 0.175 Cu
0.922 0.825 0.555 Cu
0.403 0.270 0.325 Cu
0.633 0.055 0.230 Cu
0.730 0.133 0.055 Cu
0.625 0.875 0.250 F
0.125 0.375 0.250 F
0.000 0.500 0.500 F
0.750 0.625 0.375 F
0.375 0.125 0.750 F
0.500 0.500 0.000 F
0.250 0.875 0.125 F
0.625 0.750 0.875 F
0.375 0.250 0.125 F
0.000 0.000 0.000 F
0.500 0.500 0.500 F
0.500 0.000 0.500 F
0.000 0.000 0.500 F
0.250 0.375 0.625 F
0.125 0.750 0.375 F
0.500 0.000 0.000 F
0.750 0.125 0.875 F
0.000 0.500 0.000 F
0.875 0.250 0.625 F
0.875 0.625 0.750 F
0.375 0.625 0.250 Se
0.750 0.875 0.625 Se
0.125 0.250 0.875 Se
0.625 0.375 0.750 Se
0.250 0.125 0.375 Se
0.250 0.625 0.875 Se
0.375 0.750 0.625 Se
0.875 0.125 0.250 Se
0.875 0.750 0.125 Se
0.625 0.250 0.375 Se
0.125 0.875 0.750 Se
0.750 0.375 0.125 Se

(2)
CuSeF2 | Alexandria | GGA-PBE | optimized geometry; SG = Fm-3m; ΔE to the lowest computed polymorph = 0.392 eV/atom; total magnetic moment = 0.0 μB/cell; ΔE_f (raw) = -0.255 eV per atom
1.0
-3.475 -2.039 1.139
-0.736 -0.783 4.047
-3.061 2.037 2.004
Se Cu F
1 1 2
Direct
0.500 0.500 0.500 Se
0.000 0.000 0.000 Cu
0.750 0.750 0.750 F
0.250 0.250 0.250 F

(3)
SrCuSeF | Alexandria | GGA-PBE | optimized geometry; SG = P4/nmm; total magnetic moment = 0.0 μB/cell; ΔE_f (raw) = -2.043 eV per atom
1.0
4.086 0.000 0.000
0.000 4.086 0.000
0.000 0.000 8.890
Cu Sr F Se
2 2 2 2
Direct
0.000 0.000 0.000 Cu
0.500 0.500 0.000 Cu
0.000 0.500 0.662 Sr
0.500 0.000 0.338 Sr
0.000 0.000 0.500 F
0.500 0.500 0.500 F
0.500 0.000 0.831 Se
0.000 0.500 0.169 Se

(4)
UCu3Se2F6 | Alexandria | GGA-PBE | optimized geometry; SG = C2/m; total magnetic moment = 0.7 μB/cell; ΔE_f (raw) = -1.873 eV per atom
1.0
5.034 0.000 -0.866
0.000 7.590 0.000
-1.905 -3.795 7.016
Se F U Cu
2 6 1 3
Direct
0.669 0.338 0.676 Se
0.331 0.662 0.324 Se
0.240 0.102 0.814 F
0.760 0.288 0.186 F
0.270 0.088 0.177 F
0.730 0.912 0.823 F
0.760 0.898 0.186 F
0.240 0.712 0.814 F
0.500 0.000 0.000 U
0.500 0.500 0.500 Cu
0.000 0.500 0.000 Cu
0.500 0.000 0.500 Cu